*w*
# Zr2SiP

A relaxed structure of Zr2SiP (PBEsol, Alexandria via LeMat-Bulk).

Unit cell a=4.8135 b=4.8135 c=4.8135 alpha=132.85 beta=117.83 gamma=81.55
Atoms (fractional coordinates):
1 Zr 0.2404 0.2404 0.0000
2 Zr 0.7596 0.7596 0.0000
3 Si 0.5000 0.0000 0.5000
4 P 0.0000 0.5000 0.5000

Values from the calculation:
For the density, the calculation gives 5.75 g cm⁻³. As for the symmetry: Immm.

*x*
# Zr2SiP

A relaxed structure of Zr2SiP (PBEsol, Alexandria via LeMat-Bulk).

Unit cell a=4.7181 b=4.7181 c=4.7181 alpha=124.66 beta=124.66 gamma=82.10
Atoms (fractional coordinates):
1 Zr 0.2500 0.7500 0.5000
2 Zr 0.7500 0.2500 0.5000
3 Si 0.0000 0.0000 0.0000
4 P 0.5000 0.5000 0.0000

Values from the calculation:
For the density, the calculation gives 5.87 g cm⁻³. As for the symmetry: I4/mmm.

It is *x* that is the least stable of them.

*w*
# Sr3P

A relaxed structure of Sr3P (PBEsol, Alexandria via LeMat-Bulk).

Unit cell a=11.1558 b=11.1558 c=11.1558 alpha=22.49 beta=22.49 gamma=22.49
Atoms (fractional coordinates):
1 Sr 0.0000 0.0000 0.0000
2 Sr 0.2150 0.2150 0.2150
3 Sr 0.7850 0.7850 0.7850
4 P 0.5000 0.5000 0.5000

Values from the calculation:
For the density, the calculation gives 2.74 g cm⁻³. As for the symmetry: R-3m.

*x*
# Sr3P

A relaxed structure of Sr3P (PBEsol, Alexandria via LeMat-Bulk).

Unit cell a=7.1593 b=7.1593 c=7.1593 alpha=147.43 beta=69.92 gamma=120.04
Atoms (fractional coordinates):
1 Sr 0.0000 0.0000 0.0000
2 Sr 0.3746 0.5390 0.8355
3 Sr 0.7035 0.5390 0.1645
4 P 0.6953 0.1953 0.5000

Values from the calculation:
For the density, the calculation gives 2.89 g cm⁻³. As for the symmetry: Imm2.

It is *x* that is the least stable of them.